Computed, not measured: a geometry-optimized Dy4ErTm structure at the PBE-GGA level of DFT.

Computed properties:
M_tot (μB per formula unit): 0.00
Energy relative to the elements (eV per atom): 0.15
Mass density (g cm⁻³): 8.7
Polymorph energy (0 for the lowest one) (meV/atom): 143

```
data_Dy4ErTm
_chemical_formula_sum 'Dy8 Er2 Tm2'
_space_group_name_H-M_alt 'P 1'
_space_group_IT_number 1
_space_group_name_Hall 'P 1'
_cell_length_a 8.564
_cell_length_b 8.564
_cell_length_c 6.395
_cell_angle_alpha 101.42
_cell_angle_beta 101.42
_cell_angle_gamma 118.82
loop_
_atom_site_label
_atom_site_fract_x
_atom_site_fract_y
_atom_site_fract_z
Dy1 0.109 0.710 0.956
Dy2 0.176 0.422 0.616
Dy3 0.290 0.891 0.544
Dy4 0.422 0.176 0.116
Dy5 0.578 0.824 0.884
Dy6 0.710 0.109 0.456
Dy7 0.824 0.578 0.384
Dy8 0.891 0.290 0.044
Er1 0.414 0.586 0.250
Er2 0.586 0.414 0.750
Tm1 0.006 0.994 0.250
Tm2 0.994 0.006 0.750
```

---

Computed, not measured: a geometry-optimized Dy5ErTm7 structure at the PBE-GGA level of DFT.

Computed properties:
M_tot (μB per formula unit): 0.00
Energy relative to the elements (eV per atom): 0.27
Mass density (g cm⁻³): 8.7

```
data_Dy5ErTm7
_chemical_formula_sum 'Dy5 Er1 Tm7'
_space_group_name_H-M_alt 'P 1'
_space_group_IT_number 1
_space_group_name_Hall 'P 1'
_cell_length_a 8.560
_cell_length_b 8.560
_cell_length_c 8.560
_cell_angle_alpha 134.49
_cell_angle_beta 100.63
_cell_angle_gamma 96.59
loop_
_atom_site_label
_atom_site_fract_x
_atom_site_fract_y
_atom_site_fract_z
Dy1 0.000 0.000 0.000
Dy2 0.274 0.230 0.504
Dy3 0.274 0.770 0.043
Dy4 0.726 0.230 0.957
Dy5 0.726 0.770 0.496
Er1 0.694 0.194 0.500
Tm1 0.001 0.501 0.500
Tm2 0.082 0.251 0.831
Tm3 0.308 0.808 0.500
Tm4 0.420 0.251 0.169
Tm5 0.500 0.500 0.000
Tm6 0.579 0.749 0.830
Tm7 0.919 0.749 0.170
```

---

Computed, not measured: a geometry-optimized Dy5ErTm2 structure at the PBE-GGA level of DFT.

Computed properties:
M_tot (μB per formula unit): 0.00
Energy relative to the elements (eV per atom): 0.14
Mass density (g cm⁻³): 8.6
Polymorph energy (0 for the lowest one) (meV/atom): 122

```
data_Dy5ErTm2
_chemical_formula_sum 'Dy10 Er2 Tm4'
_space_group_name_H-M_alt 'P 1'
_space_group_IT_number 1
_space_group_name_Hall 'P 1'
_cell_length_a 8.570
_cell_length_b 8.570
_cell_length_c 11.297
_cell_angle_alpha 90.00
_cell_angle_beta 90.00
_cell_angle_gamma 142.08
loop_
_atom_site_label
_atom_site_fract_x
_atom_site_fract_y
_atom_site_fract_z
Dy1 0.046 0.954 0.612
Dy2 0.046 0.954 0.888
Dy3 0.394 0.606 0.250
Dy4 0.412 0.588 0.580
Dy5 0.412 0.588 0.920
Dy6 0.588 0.412 0.080
Dy7 0.588 0.412 0.420
Dy8 0.606 0.394 0.750
Dy9 0.954 0.046 0.112
Dy10 0.954 0.046 0.388
Er1 0.228 0.772 0.750
Er2 0.772 0.228 0.250
Tm1 0.214 0.786 0.079
Tm2 0.214 0.786 0.421
Tm3 0.786 0.214 0.579
Tm4 0.786 0.214 0.921
```

---

Computed, not measured: a geometry-optimized Dy6Er8Tm structure at the PBE-GGA level of DFT.

Computed properties:
M_tot (μB per formula unit): 0.00
Energy relative to the elements (eV per atom): 0.13
Mass density (g cm⁻³): 8.8
Polymorph energy (0 for the lowest one) (meV/atom): 0

```
data_Dy6Er8Tm
_chemical_formula_sum 'Dy6 Er8 Tm1'
_space_group_name_H-M_alt 'P 1'
_space_group_IT_number 1
_space_group_name_Hall 'P 1'
_cell_length_a 8.529
_cell_length_b 8.529
_cell_length_c 8.529
_cell_angle_alpha 63.18
_cell_angle_beta 63.18
_cell_angle_gamma 63.18
loop_
_atom_site_label
_atom_site_fract_x
_atom_site_fract_y
_atom_site_fract_z
Dy1 0.041 0.723 0.611
Dy2 0.277 0.389 0.959
Dy3 0.389 0.959 0.277
Dy4 0.611 0.041 0.723
Dy5 0.723 0.611 0.041
Dy6 0.959 0.277 0.389
Er1 0.077 0.077 0.077
Er2 0.222 0.243 0.610
Er3 0.243 0.610 0.222
Er4 0.390 0.778 0.757
Er5 0.610 0.222 0.243
Er6 0.757 0.390 0.778
Er7 0.778 0.757 0.390
Er8 0.923 0.923 0.923
Tm1 0.500 0.500 0.500
```